Ta2F13: relaxed, PBE.

Cell and atoms, written as POSCAR:
```
Ta2F13
1.0
-1.404 0.125 4.342
5.115 -1.138 2.766
3.436 5.856 1.929
F Ta
13 2
Cartesian
4.435 4.155 3.552
2.710 0.688 5.483
5.114 -1.138 2.766
2.196 2.410 3.253
0.159 0.912 2.456
2.367 -0.115 3.277
0.483 1.748 5.096
6.987 3.931 6.579
2.667 3.444 5.642
4.949 2.434 5.782
4.479 1.400 3.394
4.777 4.958 5.758
6.663 3.096 3.939
4.365 0.817 6.474
2.781 4.027 2.562
```

Values from the calculation:
- V (Å³ per atom) = 11.52
- DFT total energy (eV/cell) = -83.9
- spin magnetization (μB per formula unit) = 1.00

TaTlF6: relaxed, PBE.

Cell and atoms, written as POSCAR:
```
TaTlF6
1.0
1.373 4.426 1.706
-3.627 1.543 -2.975
-2.847 -1.308 3.847
F Ta Tl
6 1 1
Cartesian
-1.879 4.218 -0.591
-3.221 0.442 3.169
-1.390 2.404 3.778
-3.710 2.257 -1.200
-0.511 4.101 1.794
-4.589 0.560 0.784
0.000 0.000 0.000
-2.550 2.330 1.289
```

Values from the calculation:
- V (Å³ per atom) = 14.70
- DFT total energy (eV/cell) = -48.8
- spin magnetization (μB per formula unit) = 0.00

TaTlF6: relaxed, PBE.

Cell and atoms, written as POSCAR:
```
TaTlF6
1.0
5.160 0.000 0.000
-2.577 4.473 0.000
-2.558 -1.492 4.925
F Tl Ta
6 1 1
Cartesian
1.404 0.512 3.589
-2.813 3.028 3.565
2.837 -0.046 1.359
1.132 2.028 1.355
-1.380 2.469 1.336
-1.108 0.954 3.569
0.000 0.000 0.000
-2.568 1.491 2.462
```

Values from the calculation:
- V (Å³ per atom) = 14.21
- DFT total energy (eV/cell) = -48.2
- spin magnetization (μB per formula unit) = 0.00

TaTlF6: relaxed, PBE.

Cell and atoms, written as POSCAR:
```
TaTlF6
1.0
4.874 -2.410 0.000
4.874 2.410 0.000
-1.836 0.000 9.614
F Ta Tl
12 2 2
Cartesian
6.671 0.359 1.603
2.160 0.359 3.204
1.369 0.340 0.389
7.462 0.340 4.418
1.242 -0.359 8.012
5.753 -0.359 6.410
3.001 0.501 5.802
3.919 -0.501 0.995
6.544 -0.340 9.225
3.994 0.501 8.619
4.912 -0.501 3.812
0.452 -0.340 5.196
2.437 -1.205 0.000
1.519 1.205 4.807
3.498 -1.758 7.211
4.415 1.758 2.404
```

Values from the calculation:
- V (Å³ per atom) = 14.12
- DFT total energy (eV/cell) = -97.2
- spin magnetization (μB per formula unit) = 2.61

TaTlF6: relaxed, PBE.

Cell and atoms, written as POSCAR:
```
TaTlF6
1.0
2.610 1.507 4.695
-2.610 1.507 4.695
0.000 -3.014 4.695
F Ta Tl
6 1 1
Cartesian
1.160 0.907 3.614
0.205 -1.458 3.614
-1.365 0.551 3.614
-1.160 -0.907 10.470
-0.205 1.458 10.470
1.365 -0.551 10.470
0.000 0.000 0.000
0.000 0.000 7.042
```

Values from the calculation:
- V (Å³ per atom) = 13.85
- DFT total energy (eV/cell) = -48.0
- spin magnetization (μB per formula unit) = 0.00

Tm3TaF: relaxed, PBE.

Cell and atoms, written as POSCAR:
```
Tm3TaF
1.0
4.708 0.000 0.000
0.000 4.708 0.000
0.000 0.000 4.708
Ta Tm F
1 3 1
Cartesian
2.354 2.354 2.354
2.354 0.000 0.000
0.000 0.000 2.354
0.000 2.354 0.000
0.000 0.000 0.000
```

Values from the calculation:
- V (Å³ per atom) = 20.87
- DFT total energy (eV/cell) = -30.5
- spin magnetization (μB per formula unit) = 0.03

TbF: relaxed, PBE.

Cell and atoms, written as POSCAR:
```
TbF
1.0
0.000 2.733 2.733
2.733 0.000 2.733
2.733 2.733 0.000
F Tb
1 1
Cartesian
0.000 0.000 0.000
1.366 1.366 1.366
```

Values from the calculation:
- V (Å³ per atom) = 20.41
- DFT total energy (eV/cell) = -11.1
- spin magnetization (μB per formula unit) = 0.01

TbF: relaxed, PBE.

Cell and atoms, written as POSCAR:
```
TbF
1.0
3.236 0.000 0.000
-1.618 2.803 0.000
0.000 0.000 3.740
F Tb
1 1
Cartesian
1.618 0.934 2.805
0.000 1.869 0.935
```

Values from the calculation:
- V (Å³ per atom) = 16.96
- DFT total energy (eV/cell) = -10.5
- spin magnetization (μB per formula unit) = 0.01

TbF: relaxed, PBE.

Cell and atoms, written as POSCAR:
```
TbF
1.0
0.000 2.522 2.522
2.522 0.000 2.522
2.522 2.522 0.000
Tb F
1 1
Cartesian
2.522 2.522 2.522
0.000 0.000 0.000
```

Values from the calculation:
- V (Å³ per atom) = 16.05
- DFT total energy (eV/cell) = -10.5
- spin magnetization (μB per formula unit) = 0.02

Tb2TlF7: relaxed, PBE.

Cell and atoms, written as POSCAR:
```
Tb2TlF7
1.0
0.754 2.113 -6.127
-5.762 -2.732 1.383
-1.557 3.861 1.140
F Tb Tl
7 2 1
Cartesian
-3.282 1.621 -1.802
-3.936 2.103 -4.328
-2.629 1.139 0.723
-0.813 2.489 -1.370
-5.752 0.753 -2.235
-3.864 -1.320 -0.805
-1.144 0.702 -3.940
-4.549 0.679 -0.342
-2.016 2.563 -3.262
0.000 0.000 0.000
```

Values from the calculation:
- V (Å³ per atom) = 16.53
- DFT total energy (eV/cell) = -61.3
- spin magnetization (μB per formula unit) = 0.00

ZnTcF6: relaxed, PBE.

Cell and atoms, written as POSCAR:
```
ZnTcF6
1.0
-4.397 -1.820 0.455
-1.441 -3.475 -2.978
-0.355 -4.850 2.049
F Zn Tc
6 1 1
Cartesian
-3.925 -5.460 -1.955
-4.510 -3.799 0.171
-4.149 -6.477 0.600
-2.045 -3.668 -1.075
-1.684 -6.346 -0.645
-2.269 -4.685 1.480
0.000 0.000 0.000
-3.097 -5.073 -0.237
```

Values from the calculation:
- V (Å³ per atom) = 11.27
- DFT total energy (eV/cell) = -39.9
- spin magnetization (μB per formula unit) = 3.00

ZnTcF6: relaxed, PBE.

Cell and atoms, written as POSCAR:
```
ZnTcF6
1.0
2.409 1.391 4.547
-2.409 1.391 4.547
0.000 -2.782 4.547
Zn F Tc
1 6 1
Cartesian
0.000 0.000 0.000
0.827 -1.361 5.698
0.765 1.397 5.698
1.592 0.036 7.944
-0.827 1.361 7.944
-0.765 -1.397 7.944
-1.592 -0.036 5.698
0.000 0.000 6.821
```

Values from the calculation:
- V (Å³ per atom) = 11.43
- DFT total energy (eV/cell) = -40.0
- spin magnetization (μB per formula unit) = 3.00

Please write out number 10 again, unchanged.
Tb2TlF7: relaxed, PBE.

Cell and atoms, written as POSCAR:
```
Tb2TlF7
1.0
0.754 2.113 -6.127
-5.762 -2.732 1.383
-1.557 3.861 1.140
F Tb Tl
7 2 1
Cartesian
-3.282 1.621 -1.802
-3.936 2.103 -4.328
-2.629 1.139 0.723
-0.813 2.489 -1.370
-5.752 0.753 -2.235
-3.864 -1.320 -0.805
-1.144 0.702 -3.940
-4.549 0.679 -0.342
-2.016 2.563 -3.262
0.000 0.000 0.000
```

Values from the calculation:
- V (Å³ per atom) = 16.53
- DFT total energy (eV/cell) = -61.3
- spin magnetization (μB per formula unit) = 0.00

Which value of DFT total energy does entry 8 give? -10.5 eV/cell